(1)
First-principles (PBE-GGA) data for RbBaPb4 after structural relaxation, as listed in Alexandria.

Geometry as extended XYZ:
```
6
Lattice="0.0000 4.8016 4.8016 4.8016 0.0000 4.8016 4.8016 4.8016 0.0000" Properties=species:S:1:pos:R:3 pbc="T T T"
Rb 0.0000 0.0000 0.0000
Ba 7.2024 7.2024 7.2024
Pb 3.6122 3.6122 3.6122
Pb 5.9910 5.9910 3.6122
Pb 5.9910 3.6122 5.9910
Pb 3.6122 5.9910 5.9910
```

Computed properties:
The magnetic moment is 0.00 μB per atom. The space group is F-43m (216). The total energy is -19.45 eV per cell. The calculation puts the calculated density at 7.9 g/cm3.


(2)
First-principles (PBE-GGA) data for RbBa2Pb after structural relaxation, as listed in Alexandria.

Geometry as extended XYZ:
```
8
Lattice="-2.8933 2.8933 12.5133 2.8933 -2.8933 12.5133 2.8933 2.8933 -12.5133" Properties=species:S:1:pos:R:3 pbc="T T T"
Rb 0.0000 0.0000 0.0000
Rb 0.0000 2.8933 6.2567
Ba 1.4467 -1.2504 9.3850
Ba 1.6429 1.4467 3.1283
Ba 1.4467 4.1437 -3.1283
Ba 1.2504 1.4467 15.6417
Pb 2.8933 0.0000 6.2567
Pb 0.0000 0.0000 12.5133
```

Computed properties:
The magnetic moment is 0.19 μB per atom. The space group is I-42d (122). The total energy is -16.35 eV per cell. The calculation puts the calculated density at 4.5 g/cm3.


(3)
First-principles (PBE-GGA) data for Rb2BaPb9 after structural relaxation, as listed in Alexandria.

Geometry as extended XYZ:
```
12
Lattice="3.4423 1.9874 10.8323 -3.4423 1.9874 10.8323 0.0000 -3.9748 10.8323" Properties=species:S:1:pos:R:3 pbc="T T T"
Rb 0.0000 0.0000 4.6279
Rb 0.0000 0.0000 27.8689
Ba 0.0000 0.0000 0.0000
Pb -1.7329 -1.0005 13.5185
Pb 0.0000 0.0000 10.9364
Pb 0.0000 -2.0009 18.9783
Pb -1.7329 1.0005 18.9783
Pb 0.0000 0.0000 16.2484
Pb 1.7329 -1.0005 13.5185
Pb 0.0000 2.0009 13.5185
Pb 0.0000 0.0000 21.5604
Pb 1.7329 1.0005 18.9784
```

Computed properties:
The magnetic moment is 0.00 μB per atom. The space group is R-3m (166). The total energy is -39.54 eV per cell. The calculation puts the calculated density at 8.1 g/cm3.